Entry 1:
This record from Alexandria via LeMat-Bulk describes a geometry-optimized AlV5Mo4 structure. The functional is PBE.

Lattice parameters (Å, degrees): 3.1120 3.1120 15.0131 90.00 90.00 90.00
Space group P4/mmm (No. 123)
Symmetry-distinct sites (fractional):
1 Al 0.0000 0.0000 0.0000 [1 per cell]
2 V 0.5000 0.5000 0.1014 [2 per cell]
3 V 0.5000 0.5000 0.2981 [2 per cell]
4 V 0.5000 0.5000 0.5000 [1 per cell]
5 Mo 0.0000 0.0000 0.1938 [2 per cell]
6 Mo 0.0000 0.0000 0.3983 [2 per cell]

Computed properties:
Formation energy ... -148 meV/atom
Energy ... -94.14 eV/cell

Entry 2:
This record from Alexandria via LeMat-Bulk describes a geometry-optimized LaCrGa2Sb structure. The functional is PBE.

Lattice parameters (Å, degrees): 5.6040 5.6040 5.1379 90.00 90.00 90.00
Space group P4/mmm (No. 123)
Symmetry-distinct sites (fractional):
1 La 0.0000 0.0000 0.0000 [1 per cell]
2 Cr 0.0000 0.0000 0.5000 [1 per cell]
3 Ga 0.0000 0.5000 0.0000 [2 per cell]
4 Sb 0.5000 0.5000 0.5000 [1 per cell]

Computed properties:
Uncorrected formation energy ... 550 kJ/mol of formula units
Energy ... -19.03 eV/cell